LiTb3Er2S6, relaxed, DFT PBE-GGA; energy relative to the elements, uncorrected = -1.959 eV/atom; DOS(E_F) = 4.45 states/eV per cell; VASP energy = -6.100 eV per atom
1.0
3.349 -5.817 0.000
3.349 5.817 0.000
-2.249 0.000 6.358
Li Tb Er S
1 3 2 6
Cartesian
0.000 0.000 0.000
2.225 3.893 3.179
2.225 0.000 3.179
2.225 -3.893 3.179
3.349 1.927 0.000
3.349 -1.927 0.000
1.091 1.906 1.536
-0.065 0.000 4.844
1.091 -1.906 1.536
3.358 1.906 4.823
4.514 0.000 1.514
3.358 -1.906 4.823

***

UPdPb2S5, relaxed, DFT PBE-GGA; energy relative to the elements, uncorrected = -0.740 eV/atom; DOS(E_F) = 7.50 states/eV per cell; VASP energy = -5.688 eV per atom
1.0
1.983 -8.726 0.000
1.983 8.726 0.000
0.000 0.000 12.661
U Pd Pb S
2 2 4 10
Cartesian
1.983 5.007 6.331
1.983 -5.007 0.000
1.983 1.395 11.680
1.983 -1.395 5.350
1.983 7.085 1.659
1.983 6.836 9.834
1.983 -6.836 3.503
1.983 -7.085 7.989
1.983 7.564 6.681
1.983 4.007 1.753
1.983 3.696 10.961
1.983 2.409 6.014
1.983 0.074 9.607
1.983 -0.074 3.276
1.983 -2.409 12.344
1.983 -3.696 4.630
1.983 -4.007 8.083
1.983 -7.564 0.350

***

What is the formula in the second record?
UPdPb2S5